A plane-wave DFT calculation with PBE was carried out for an optimized crystal structure of PmAsAuO.

Unit cell a=6.051 b=3.952 c=6.875 alpha=90.00 beta=90.00 gamma=90.00
Fractional positions:
O1 0.500 0.729 0.727
Au1 0.000 0.496 0.688
As1 0.000 0.998 0.442
As2 0.000 0.002 0.942
Au2 0.000 0.504 0.188
O2 0.500 0.271 0.227
Pm1 0.500 0.235 0.897
Pm2 0.500 0.765 0.397

Summary:
Theoretical density: 8.744 g/cm3
Raw total energy: -5.85 eV per atom
Excess energy over the best structure of this formula in the dataset: 145 meV per atom

***

A plane-wave DFT calculation with PBE was carried out for an optimized crystal structure of ReAsAuO.

Unit cell a=2.967 b=6.565 c=7.367 alpha=90.00 beta=90.00 gamma=90.00
Fractional positions:
O1 0.500 0.053 0.759
Re1 0.500 0.974 0.005
As1 0.000 0.316 0.421
O2 0.500 0.947 0.259
Re2 0.500 0.026 0.505
As2 0.000 0.684 0.921
Au1 0.000 0.339 0.069
Au2 0.000 0.661 0.569

Summary:
Theoretical density: 10.974 g/cm3
Raw total energy: -6.61 eV per atom
Excess energy over the best structure of this formula in the dataset: 0 meV per atom

***

A plane-wave DFT calculation with PBE was carried out for an optimized crystal structure of ReAsAuO.

Unit cell a=3.532 b=3.532 c=10.025 alpha=90.00 beta=90.00 gamma=90.00
Fractional positions:
Au1 0.250 0.750 0.500
As1 0.250 0.250 0.748
O1 0.750 0.250 0.000
Au2 0.750 0.250 0.500
O2 0.250 0.750 0.000
Re1 0.250 0.250 0.122
As2 0.750 0.750 0.252
Re2 0.750 0.750 0.878

Summary:
Theoretical density: 12.591 g/cm3
Raw total energy: -6.08 eV per atom
Excess energy over the best structure of this formula in the dataset: 529 meV per atom

***

A plane-wave DFT calculation with PBE was carried out for an optimized crystal structure of ReAsAuO.

Unit cell a=3.913 b=3.913 c=8.357 alpha=90.00 beta=90.00 gamma=90.00
Fractional positions:
As1 0.500 0.000 0.701
Re1 0.000 0.000 0.500
O1 0.500 0.500 0.000
O2 0.000 0.000 0.000
Re2 0.500 0.500 0.500
Au1 0.000 0.500 0.880
Au2 0.500 0.000 0.120
As2 0.000 0.500 0.299

Summary:
Theoretical density: 12.304 g/cm3
Raw total energy: -5.82 eV per atom
Excess energy over the best structure of this formula in the dataset: 788 meV per atom

***

A plane-wave DFT calculation with PBE was carried out for an optimized crystal structure of ReAsAuO.

Unit cell a=3.780 b=6.239 c=6.070 alpha=90.00 beta=90.00 gamma=90.00
Fractional positions:
O1 0.500 0.232 0.452
As1 0.000 0.852 0.351
Re1 0.000 0.232 0.460
Au1 0.500 0.368 0.991
As2 0.000 0.148 0.851
O2 0.500 0.768 0.952
Re2 0.000 0.768 0.960
Au2 0.500 0.632 0.491

Summary:
Theoretical density: 10.996 g/cm3
Raw total energy: -6.38 eV per atom
Excess energy over the best structure of this formula in the dataset: 228 meV per atom

***

A plane-wave DFT calculation with PBE was carried out for an optimized crystal structure of ScAsAuO.

Unit cell a=3.626 b=7.368 c=5.927 alpha=90.00 beta=90.00 gamma=90.00
Fractional positions:
O1 0.500 0.237 0.939
O2 0.500 0.763 0.439
Au1 0.500 0.066 0.439
Sc1 0.000 0.667 0.438
As1 0.000 0.298 0.438
As2 0.000 0.702 0.938
Sc2 0.000 0.333 0.938
Au2 0.500 0.934 0.939

Summary:
Theoretical density: 6.981 g/cm3
Raw total energy: -6.00 eV per atom
Excess energy over the best structure of this formula in the dataset: 227 meV per atom

***

A plane-wave DFT calculation with PBE was carried out for an optimized crystal structure of ScAsAuO.

Unit cell a=3.818 b=3.818 c=9.253 alpha=90.00 beta=90.00 gamma=90.00
Fractional positions:
Sc1 0.750 0.750 0.900
Au1 0.750 0.250 0.500
O1 0.750 0.250 0.000
O2 0.250 0.750 0.000
Sc2 0.250 0.250 0.100
As1 0.250 0.250 0.712
Au2 0.250 0.750 0.500
As2 0.750 0.750 0.288

Summary:
Theoretical density: 8.195 g/cm3
Raw total energy: -6.23 eV per atom
Excess energy over the best structure of this formula in the dataset: 4 meV per atom

***

A plane-wave DFT calculation with PBE was carried out for an optimized crystal structure of ScAsAuO.

Unit cell a=4.973 b=6.668 c=5.114 alpha=90.00 beta=90.00 gamma=90.00
Fractional positions:
O1 0.500 0.103 0.903
Sc1 0.500 0.165 0.536
Sc2 0.500 0.835 0.036
As1 0.000 0.319 0.406
O2 0.500 0.897 0.403
As2 0.000 0.681 0.906
Au1 0.000 0.702 0.409
Au2 0.000 0.298 0.909

Summary:
Theoretical density: 6.519 g/cm3
Raw total energy: -6.02 eV per atom
Excess energy over the best structure of this formula in the dataset: 207 meV per atom

***

A plane-wave DFT calculation with PBE was carried out for an optimized crystal structure of ScAs2AuO7.

Unit cell a=5.600 b=5.600 c=4.916 alpha=97.10 beta=97.10 gamma=101.40
Fractional positions:
O1 0.371 0.168 0.202
O2 0.049 0.951 0.500
O3 0.578 0.675 0.280
As1 0.752 0.828 0.581
Sc1 0.630 0.370 0.000
O4 0.832 0.629 0.798
O5 0.325 0.422 0.720
O6 0.641 0.059 0.735
Au1 0.233 0.767 0.000
O7 0.941 0.359 0.265
As2 0.172 0.248 0.419

Summary:
Theoretical density: 5.644 g/cm3
Raw total energy: -6.34 eV per atom

***

A plane-wave DFT calculation with PBE was carried out for an optimized crystal structure of ScAsAuO.

Unit cell a=3.816 b=3.816 c=9.375 alpha=90.00 beta=90.00 gamma=90.00
Fractional positions:
O1 0.500 0.500 0.000
Sc1 0.500 0.000 0.100
Au1 0.000 0.000 0.500
As1 0.500 0.000 0.711
O2 0.000 0.000 0.000
As2 0.000 0.500 0.289
Au2 0.500 0.500 0.500
Sc2 0.000 0.500 0.900

Summary:
Theoretical density: 8.099 g/cm3
Raw total energy: -6.23 eV per atom
Excess energy over the best structure of this formula in the dataset: 0 meV per atom

***

A plane-wave DFT calculation with PBE was carried out for an optimized crystal structure of AsAuSeO.

Unit cell a=6.482 b=4.947 c=11.617 alpha=90.00 beta=94.28 gamma=90.00
Fractional positions:
Se1 0.797 0.559 0.704
As1 0.859 0.905 0.045
O1 0.324 0.486 0.078
Se2 0.203 0.059 0.296
As2 0.141 0.405 0.955
O2 0.908 0.550 0.013
Au1 0.651 0.580 0.504
Au2 0.064 0.898 0.697
Se3 0.614 0.655 0.294
As3 0.471 0.265 0.180
Se4 0.386 0.155 0.706
O3 0.092 0.050 0.987
As4 0.529 0.765 0.820
Au3 0.936 0.398 0.303
Au4 0.349 0.080 0.496
O4 0.676 0.986 0.922

Summary:
Theoretical density: 6.560 g/cm3
Raw total energy: -4.57 eV per atom
Excess energy over the best structure of this formula in the dataset: 0 meV per atom

***

A plane-wave DFT calculation with PBE was carried out for an optimized crystal structure of AsAuSeO.

Unit cell a=3.781 b=3.781 c=9.362 alpha=90.00 beta=90.00 gamma=90.00
Fractional positions:
Au1 0.250 0.750 0.500
O1 0.250 0.750 0.000
Se1 0.250 0.250 0.726
Se2 0.750 0.750 0.274
As1 0.750 0.750 0.884
Au2 0.750 0.250 0.500
As2 0.250 0.250 0.116
O2 0.750 0.250 0.000

Summary:
Theoretical density: 9.101 g/cm3
Raw total energy: -4.25 eV per atom
Excess energy over the best structure of this formula in the dataset: 327 meV per atom

***

Question: Among the records above, which one has the highest theoretical density?
Answer: number 3

***

Question: Number 4 is which compound?
Answer: ReAsAuO

***

Question: Look up the raw total energy of the second one.
Answer: -6.61 eV per atom